DFT (PBE-GGA) results for La12Tb5Er2 after structural relaxation.

```
19
Lattice="10.858 0.000 0.000 -5.429 7.629 -0.169 0.000 0.812 8.156" Properties=species:S:1:pos:R:3 pbc="T T T"
La 5.429 5.797 0.681
La -3.020 5.504 6.342
La 3.020 5.504 6.342
La -2.455 6.301 3.006
La 2.455 6.301 3.006
La 0.000 7.362 5.668
La 5.429 1.079 2.319
La 7.884 2.139 4.981
La 2.974 2.139 4.981
La 8.449 2.937 1.645
La 2.409 2.937 1.645
La 0.000 2.643 7.306
Tb 0.000 4.081 4.107
Tb 0.000 5.307 0.681
Tb 0.000 0.406 4.078
Tb 5.429 3.134 7.307
Tb 5.429 4.360 3.880
Er 7.857 0.000 0.000
Er 3.001 0.000 0.000
```

* energy of formation: 0.12 eV per atom
* symmetry: C2/m, No. 12
* V: 677.1 Å³ per cell
* total DFT energy (no corrections): -89.08 eV for the cell shown

=====

DFT (PBE-GGA) results for AcPIr after structural relaxation.

```
12
Lattice="-3.354 4.177 -3.594 -5.004 -0.548 4.033 2.306 4.885 3.525" Properties=species:S:1:pos:R:3 pbc="T T T"
Ac -0.881 1.240 0.577
Ac -1.968 6.676 2.121
Ac -3.975 4.166 4.448
Ac -5.279 4.946 0.783
P -2.545 3.581 1.668
P -1.043 4.511 5.297
P -2.148 6.632 -0.945
P -6.367 2.304 1.911
Ir -4.073 1.840 2.020
Ir -0.710 3.719 3.117
Ir -2.245 4.328 -0.532
Ir -5.075 7.140 3.325
```

* energy of formation: -1.11 eV per atom
* symmetry: P2_13, No. 198
* V: 268.4 Å³ per cell
* total DFT energy (no corrections): -86.89 eV for the cell shown

=====

DFT (PBE-GGA) results for HfTl5Te4 after structural relaxation.

```
10
Lattice="4.295 0.000 0.000 0.000 9.144 -1.420 -2.147 -2.877 9.204" Properties=species:S:1:pos:R:3 pbc="T T T"
Hf 2.147 0.000 0.000
Tl 2.147 4.502 4.233
Tl 2.147 0.105 6.214
Tl 0.000 6.162 1.570
Tl 2.147 4.572 -0.710
Tl 0.000 1.765 3.551
Te 0.000 6.801 4.929
Te 2.147 4.265 7.426
Te 2.147 -0.534 2.856
Te 0.000 2.002 0.359
```

* symmetry: C2/m, No. 12
* V: 343.9 Å³ per cell
* total DFT energy (no corrections): -38.15 eV for the cell shown
* raw formation energy: -3.80 eV/f.u.

=====

DFT (PBE-GGA) results for Hg2GeBi2 after structural relaxation.

```
5
Lattice="-2.177 2.186 2.648 2.235 -1.478 3.057 5.796 7.198 1.944" Properties=species:S:1:pos:R:3 pbc="T T T"
Ge 0.000 0.000 0.000
Bi 1.003 1.510 2.699
Bi 4.852 6.397 4.950
Hg 1.824 4.869 3.722
Hg 4.030 3.037 3.927
```

* energy of formation: 0.20 eV per atom
* symmetry: I4/mmm, No. 139
* V: 148.7 Å³ per cell
* total DFT energy (no corrections): -11.97 eV for the cell shown

=====

DFT (PBE-GGA) results for Y2InReC after structural relaxation.

```
5
Lattice="-0.775 -3.189 -3.781 1.286 -3.826 2.963 -3.838 -0.412 1.134" Properties=species:S:1:pos:R:3 pbc="T T T"
Y 0.643 -1.913 1.481
Y -0.388 -1.594 -1.890
Re -1.919 -0.206 0.567
C 0.000 0.000 0.000
In -1.664 -3.713 0.158
```

* energy of formation: -0.36 eV per atom
* symmetry: P4/mmm, No. 123
* V: 100.8 Å³ per cell
* total DFT energy (no corrections): -39.13 eV for the cell shown